The following is a PBE calculation of a geometry-optimized K2Be2PbO6 structure, from Alexandria via LeMat-Bulk.

abc: 5.6393 5.6393 6.5023
angles: 90.00 90.00 120.00
With the nearest neighbours (Å) after each atom.
Atoms (fractional coordinates):
Be1 0.3333 0.6667 0.8251  3 O 1.52
Be2 0.6667 0.3333 0.1749  3 O 1.52
O1 0.1771 0.3578 0.7973  1 Be 1.52
O2 0.1806 0.8229 0.7973  1 Be 1.52
O3 0.8194 0.1771 0.2027  1 Be 1.52
O4 0.6422 0.8194 0.7973  1 Be 1.52
O5 0.3578 0.1806 0.2027  1 Be 1.52
O6 0.8229 0.6422 0.2027  1 Be 1.52
K1 0.6667 0.3333 0.6532  9 O 2.96-3.30, 1 Be 3.11
K2 0.3333 0.6667 0.3468  9 O 2.96-3.30, 1 Be 3.11
Pb1 0.0000 0.0000 0.0000  6 O 2.19

Summary:
E: -5.326 eV per atom
formation energy (no corrections): -1.408 eV per atom

=====

The following is a PBE calculation of a geometry-optimized TbPr2Tl structure, from Alexandria via LeMat-Bulk.

abc: 6.9052 6.9731 6.9731
angles: 73.01 60.32 60.32
With the nearest neighbours (Å) after each atom.
Atoms (fractional coordinates):
Pr1 0.7022 0.2978 0.7978  3 Pr 3.45-3.57, 4 Tb 3.49-3.62, 4 Tl 3.52-3.55
Pr2 0.7978 0.7022 0.2022  3 Pr 3.45-3.57, 4 Tb 3.49-3.62, 4 Tl 3.52-3.55
Pr3 0.2022 0.2978 0.7978  3 Pr 3.45-3.57, 4 Tb 3.49-3.62, 4 Tl 3.52-3.55
Pr4 0.2978 0.7022 0.2022  3 Pr 3.45-3.57, 4 Tb 3.49-3.62, 4 Tl 3.52-3.55
Tb1 0.7500 0.1834 0.3166  3 Tl 3.17-3.45, 4 Pr 3.49
Tb2 0.2500 0.8166 0.6834  3 Tl 3.17-3.45, 4 Pr 3.49
Tl1 0.7500 0.8010 0.6990  3 Tb 3.17-3.45, 8 Pr 3.52-3.55
Tl2 0.2500 0.1990 0.3010  3 Tb 3.17-3.45, 8 Pr 3.52-3.55

Summary:
E: -4.313 eV per atom
formation energy from the elements: -17 kJ/mol of atoms
energy relative to the lowest polymorph listed for this composition: 0.023 eV per atom

=====

The following is a PBE calculation of a geometry-optimized Ba2DyAuO4 structure, from Alexandria via LeMat-Bulk.

abc: 6.7462 6.7462 6.7462
angles: 73.77 129.77 129.77
With the nearest neighbours (Å) after each atom.
Atoms (fractional coordinates):
O1 0.0614 0.1516 0.6365  1 Dy 2.16
O2 0.9386 0.5750 0.0902  1 Dy 2.16
O3 0.4848 0.9098 0.8484  1 Dy 2.16
O4 0.5152 0.3635 0.4250  1 Dy 2.16
Ba1 0.5000 0.7500 0.2500  4 O 2.58
Ba2 0.0000 0.0000 0.0000  4 O 2.57
Au1 0.0000 0.5000 0.5000  4 O 2.47
Dy1 0.5000 0.2500 0.7500  4 O 2.16

Summary:
E: -6.055 eV per atom
formation energy (no corrections): -2.111 eV per atom

=====

The following is a PBE calculation of a geometry-optimized KAlCo2 structure, from Alexandria via LeMat-Bulk.

abc: 2.7569 5.2302 4.6050
angles: 90.00 90.00 90.00
With the nearest neighbours (Å) after each atom.
Atoms (fractional coordinates):
K1 0.5000 0.0000 0.5000  4 Co 2.68, 2 K 2.76, 4 Al 2.96
Co1 0.5000 0.5000 0.0000  4 Al 2.68, 6 Co 2.76-2.96
Co2 0.0000 0.0000 0.0000  4 K 2.68, 6 Co 2.76-2.96
Al1 0.0000 0.5000 0.5000  4 Co 2.68, 2 Al 2.76, 4 K 2.96

Summary:
E: -3.739 eV per atom
formation energy from the elements: 99 kJ/mol of atoms

=====

The following is a PBE calculation of a geometry-optimized Cs2U2Te5 structure, from Alexandria via LeMat-Bulk.

abc: 8.5127 8.5066 10.3025
angles: 114.38 90.00 90.00
With the nearest neighbours (Å) after each atom.
Atoms (fractional coordinates):
U1 0.6551 0.8451 0.0000  8 Te 3.11-3.24
U2 0.1551 0.6549 0.0000  8 Te 3.11-3.24
U3 0.8449 0.3451 0.0000  8 Te 3.11-3.24
U4 0.3449 0.1549 0.0000  8 Te 3.11-3.24
Te1 0.5000 0.5000 0.0000  4 U 3.22
Te2 0.1458 0.4595 0.2108  3 U 3.11-3.24
Te3 0.6458 0.0405 0.7892  3 U 3.11-3.24
Te4 0.6458 0.2513 0.2108  3 U 3.11-3.24
Te5 0.8542 0.5405 0.7892  3 U 3.11-3.24
Te6 0.8542 0.7513 0.2108  3 U 3.11-3.24
Te7 0.1458 0.2487 0.7892  3 U 3.11-3.24
Te8 0.3542 0.9595 0.2108  3 U 3.11-3.24
Te9 0.0000 0.0000 0.0000  4 U 3.22
Te10 0.3542 0.7487 0.7892  3 U 3.11-3.24
Cs1 0.5000 0.2934 0.5869  7 Te 3.77-3.94
Cs2 0.0000 0.7934 0.5869  7 Te 3.77-3.94
Cs3 0.5000 0.7066 0.4131  7 Te 3.77-3.94
Cs4 0.0000 0.2066 0.4131  7 Te 3.77-3.94

Summary:
E: -5.290 eV per atom
formation energy (no corrections): -0.846 eV per atom

=====

The following is a PBE calculation of a geometry-optimized Tb4CdOs structure, from Alexandria via LeMat-Bulk.

abc: 9.6726 9.6726 9.6726
angles: 60.00 60.00 60.00
With the nearest neighbours (Å) after each atom.
Atoms (fractional coordinates):
Tb1 0.5590 0.9410 0.5590  2 Os 2.77
Tb2 0.7878 0.4041 0.4041  3 Os 2.85
Tb3 0.8093 0.1907 0.8093  2 Cd 3.30, 10 Tb 3.46-3.69, 2 Os 3.46
Tb4 0.5590 0.9410 0.9410  2 Os 2.77
Tb5 0.1907 0.8093 0.1907  2 Cd 3.30, 10 Tb 3.46-3.69, 2 Os 3.46
Tb6 0.1907 0.8093 0.8093  2 Cd 3.30, 10 Tb 3.46-3.69, 2 Os 3.46
Tb7 0.4041 0.7878 0.4041  3 Os 2.85
Tb8 0.9410 0.5590 0.5590  2 Os 2.77
Tb9 0.4041 0.4041 0.7878  3 Os 2.85
Tb10 0.4041 0.4041 0.4041  3 Os 2.85
Tb11 0.8093 0.1907 0.1907  2 Cd 3.30, 10 Tb 3.46-3.69, 2 Os 3.46
Tb12 0.9410 0.5590 0.9410  2 Os 2.77
Tb13 0.5590 0.5590 0.9410  2 Os 2.77
Tb14 0.1907 0.1907 0.8093  2 Cd 3.30, 10 Tb 3.46-3.69, 2 Os 3.46
Tb15 0.8093 0.8093 0.1907  2 Cd 3.30, 10 Tb 3.46-3.69, 2 Os 3.46
Tb16 0.9410 0.9410 0.5590  2 Os 2.77
Cd1 0.1699 0.1699 0.1699  3 Cd 3.10, 3 Tb 3.30
Cd2 0.4904 0.1699 0.1699  3 Cd 3.10, 3 Tb 3.30
Cd3 0.1699 0.1699 0.4904  3 Cd 3.10, 3 Tb 3.30
Cd4 0.1699 0.4904 0.1699  3 Cd 3.10, 3 Tb 3.30
Os1 0.6116 0.6116 0.1653  6 Tb 2.77-2.85
Os2 0.6116 0.6116 0.6116  6 Tb 2.77-2.85
Os3 0.6116 0.1653 0.6116  6 Tb 2.77-2.85
Os4 0.1653 0.6116 0.6116  6 Tb 2.77-2.85

Summary:
E: -5.383 eV per atom
formation energy from the elements: -26 kJ/mol of atoms
energy relative to the lowest polymorph listed for this composition: 0.000 eV per atom